1.
Computed, not measured: a geometry-optimized KCoSb2 structure at the PBE level of DFT.

a = 4.435 Å, b = 4.486 Å, c = 13.378 Å
α = 90.00°, β = 90.00°, γ = 90.00°
Positions (direct):
1 K 0.000 0.000 0.000
2 K 0.000 0.500 0.500
3 Co 0.500 0.000 0.782
4 Co 0.500 0.500 0.282
5 Sb 0.000 0.000 0.714
6 Sb 0.000 0.500 0.214
7 Sb 0.500 0.000 0.348
8 Sb 0.500 0.500 0.848

Summary:
Distance to the lowest polymorph of the same formula, meV/atom: 187
E_form (uncorrected), eV/atom: 0.01
Total magnetic moment, μB/atom: 0.09
Volume, Å³ per cell: 266.2
Final energy, eV per atom: -4.1017



2.
Computed, not measured: a geometry-optimized Ta3CoOs structure at the PBE level of DFT.

a = 4.494 Å, b = 4.494 Å, c = 4.494 Å
α = 90.00°, β = 90.00°, γ = 90.00°
Positions (direct):
1 Ta 0.000 0.000 0.500
2 Ta 0.000 0.500 0.000
3 Ta 0.500 0.000 0.000
4 Co 0.000 0.000 0.000
5 Os 0.500 0.500 0.500

Summary:
Distance to the lowest polymorph of the same formula, meV/atom: 0
Total magnetic moment, μB/atom: 0.00
Calculated formation energy, kJ/mol of atoms: 85.5
Volume, Å³ per cell: 90.8
Final energy, eV per atom: -9.8929